i:
{"formula": "EuTmMg", "functional": "PBE-GGA", "state": "relaxed", "magnetic_moment_mub_per_fu": 7.2, "spacegroup": "P3m1", "cell": [[-2.947, -1.391, -0.918], [1.105, -4.446, 3.190], [-2.731, 4.368, 2.150]], "species": ["Tm", "Eu", "Mg"], "fractional_positions": [[0.305, 0.667, 0.333], [0.693, 0.333, 0.667], [0.002, 0.000, 0.000]]}

=====

ii:
{"formula": "EuTmMg", "functional": "PBE-GGA", "state": "relaxed", "magnetic_moment_mub_per_fu": 7.6, "spacegroup": "I4mm", "cell": [[-1.404, 1.318, -3.232], [-3.374, 0.381, 1.621], [3.960, 5.303, 2.631]], "species": ["Tm", "Eu", "Mg"], "fractional_positions": [[0.315, 0.315, 0.629], [0.010, 0.010, 0.019], [0.676, 0.676, 0.351]]}

=====

Out of the structures above, which one is the most stable? Solution: ii.